[1]
# MgZnP2

A relaxed MgZnP2 crystal (PBE, Alexandria via LeMat-Bulk). Values from VASP.

Computed properties:
The value obtained for the density is 3.612 g/cm3. The value obtained for the total DFT energy (no corrections) is -3.159 eV/atom. As for the energy relative to the elements: 0.26 eV per atom.

Geometry as Quantum ESPRESSO input:
```
&SYSTEM
  ibrav = 0, nat = 4, ntyp = 3
/
ATOMIC_SPECIES
P 30.97 P.upf
Zn 65.41 Zn.upf
Mg 24.30 Mg.upf
ATOMIC_POSITIONS crystal
P 0.000 0.000 0.950
Zn 0.000 0.000 0.505
P 0.500 0.500 0.303
Mg 0.500 0.500 0.743
CELL_PARAMETERS angstrom
-0.541 1.886 -1.910
-0.685 -2.105 -1.612
-8.797 0.543 3.030
```

[2]
# BeAs2IrSe

A relaxed BeAs2IrSe crystal (PBE, Alexandria via LeMat-Bulk). Values from VASP.

Computed properties:
The value obtained for the raw formation energy is 0.7708 eV per atom. The value obtained for the density is 8.478 g/cm3. The value obtained for the total DFT energy (no corrections) is -4.303 eV/atom.

Geometry as Quantum ESPRESSO input:
```
&SYSTEM
  ibrav = 0, nat = 5, ntyp = 4
/
ATOMIC_SPECIES
As 74.92 As.upf
Ir 192.22 Ir.upf
Se 78.96 Se.upf
Be 9.01 Be.upf
ATOMIC_POSITIONS crystal
As 0.500 0.000 0.000
Ir 0.500 0.500 0.500
Se 0.000 0.000 0.500
Be 0.000 0.000 0.000
As 0.000 0.500 0.000
CELL_PARAMETERS angstrom
4.300 0.000 0.000
0.000 4.300 0.000
0.000 0.000 4.555
```

[3]
# SrNdO4

A relaxed SrNdO4 crystal (PBE, Alexandria via LeMat-Bulk). Values from VASP.

Computed properties:
The value obtained for the raw formation energy is -2.3023 eV per atom. The value obtained for the density is 5.013 g/cm3. The value obtained for the total DFT energy (no corrections) is -6.683 eV/atom.

Geometry as Quantum ESPRESSO input:
```
&SYSTEM
  ibrav = 0, nat = 6, ntyp = 3
/
ATOMIC_SPECIES
Nd 144.24 Nd.upf
Sr 87.62 Sr.upf
O 16.00 O.upf
ATOMIC_POSITIONS crystal
Nd 0.066 0.133 0.047
Sr 0.436 0.872 0.469
O 0.833 0.666 0.718
O 0.669 0.338 0.808
O 0.399 0.799 0.086
O 0.096 0.193 0.372
CELL_PARAMETERS angstrom
-1.090 1.021 3.713
2.935 -2.749 -0.539
4.279 5.500 -0.256
```

[4]
# KSc2Cu4

A relaxed KSc2Cu4 crystal (PBE, Alexandria via LeMat-Bulk). Values from VASP.

Computed properties:
The value obtained for the density is 3.728 g/cm3. The value obtained for the total DFT energy (no corrections) is -3.335 eV/atom. As for the energy relative to the elements: 0.97 eV per atom.

Geometry as Quantum ESPRESSO input:
```
&SYSTEM
  ibrav = 0, nat = 7, ntyp = 3
/
ATOMIC_SPECIES
Cu 63.55 Cu.upf
Sc 44.96 Sc.upf
K 39.10 K.upf
ATOMIC_POSITIONS crystal
Cu 0.199 0.199 0.601
Cu 0.801 0.801 0.399
Cu 0.000 0.500 0.000
Cu 0.500 0.000 0.000
Sc 0.615 0.615 0.770
Sc 0.385 0.385 0.230
K 0.000 0.000 0.000
CELL_PARAMETERS angstrom
4.950 0.000 0.000
0.000 4.950 0.000
2.475 2.475 6.966
```

[5]
# LaCd2Hg2

A relaxed LaCd2Hg2 crystal (PBE, Alexandria via LeMat-Bulk). Values from VASP.

Computed properties:
The value obtained for the density is 9.676 g/cm3. The value obtained for the total DFT energy (no corrections) is -1.761 eV/atom. As for the energy relative to the elements: -0.29 eV per atom.

Geometry as Quantum ESPRESSO input:
```
&SYSTEM
  ibrav = 0, nat = 5, ntyp = 3
/
ATOMIC_SPECIES
Hg 200.59 Hg.upf
La 138.91 La.upf
Cd 112.41 Cd.upf
ATOMIC_POSITIONS crystal
Hg 0.608 0.608 0.785
La 0.000 0.000 0.000
Cd 0.750 0.250 0.500
Hg 0.392 0.392 0.215
Cd 0.250 0.750 0.500
CELL_PARAMETERS angstrom
-0.531 1.608 -4.147
3.827 -1.963 -1.252
-1.663 -5.569 -4.366
```

[6]
# Nb5C2

A relaxed Nb5C2 crystal (PBE, Alexandria via LeMat-Bulk). Values from VASP.

Computed properties:
The value obtained for the density is 7.726 g/cm3. The value obtained for the total DFT energy (no corrections) is -10.170 eV/atom. As for the energy relative to the elements: -0.34 eV per atom.

Geometry as Quantum ESPRESSO input:
```
&SYSTEM
  ibrav = 0, nat = 14, ntyp = 2
/
ATOMIC_SPECIES
Nb 92.91 Nb.upf
C 12.01 C.upf
ATOMIC_POSITIONS crystal
Nb 0.099 0.750 0.000
Nb 0.507 0.422 0.202
Nb 0.304 0.078 0.798
Nb 0.107 0.654 0.401
Nb 0.295 0.154 0.401
C 0.101 0.710 0.700
Nb 0.705 0.846 0.599
Nb 0.901 0.250 0.000
C 0.899 0.290 0.300
Nb 0.493 0.578 0.798
Nb 0.893 0.346 0.599
C 0.599 0.210 0.700
C 0.401 0.790 0.300
Nb 0.696 0.922 0.202
CELL_PARAMETERS angstrom
5.108 0.000 -2.003
-0.583 5.534 -1.486
-0.014 -0.146 7.480
```

[7]
# ErTmInPd

A relaxed ErTmInPd crystal (PBE, Alexandria via LeMat-Bulk). Values from VASP.

Computed properties:
The value obtained for the density is 9.890 g/cm3. The value obtained for the total DFT energy (no corrections) is -4.941 eV/atom. As for the energy relative to the elements: -0.70 eV per atom.

Geometry as Quantum ESPRESSO input:
```
&SYSTEM
  ibrav = 0, nat = 4, ntyp = 4
/
ATOMIC_SPECIES
Pd 106.42 Pd.upf
Er 167.26 Er.upf
In 114.82 In.upf
Tm 168.93 Tm.upf
ATOMIC_POSITIONS crystal
Pd 0.000 0.000 0.354
Er 0.500 0.500 0.580
In 0.000 0.000 0.859
Tm 0.500 0.500 0.135
CELL_PARAMETERS angstrom
-2.095 -2.761 -0.361
1.164 -0.458 -3.252
5.596 -4.593 2.650
```

[8]
# TaB2AsS

A relaxed TaB2AsS crystal (PBE, Alexandria via LeMat-Bulk). Values from VASP.

Computed properties:
The value obtained for the raw formation energy is 1.4090 eV per atom. The value obtained for the density is 7.270 g/cm3. The value obtained for the total DFT energy (no corrections) is -5.388 eV/atom.

Geometry as Quantum ESPRESSO input:
```
&SYSTEM
  ibrav = 0, nat = 5, ntyp = 4
/
ATOMIC_SPECIES
B 10.81 B.upf
Ta 180.95 Ta.upf
As 74.92 As.upf
S 32.06 S.upf
ATOMIC_POSITIONS crystal
B 0.500 0.000 0.000
Ta 0.500 0.500 0.500
B 0.000 0.000 0.500
As 0.000 0.500 0.000
S 0.000 0.000 0.000
CELL_PARAMETERS angstrom
-3.781 0.033 0.169
-0.220 -1.938 -4.533
0.036 -3.481 1.486
```

[9]
# Tb2PmDy6

A relaxed Tb2PmDy6 crystal (PBE, Alexandria via LeMat-Bulk). Values from VASP.

Computed properties:
The value obtained for the density is 8.341 g/cm3. The value obtained for the total DFT energy (no corrections) is -4.607 eV/atom. As for the energy relative to the elements: 0.02 eV per atom.

Geometry as Quantum ESPRESSO input:
```
&SYSTEM
  ibrav = 0, nat = 18, ntyp = 3
/
ATOMIC_SPECIES
Dy 162.50 Dy.upf
Pm 145.00 Pm.upf
Tb 158.93 Tb.upf
ATOMIC_POSITIONS crystal
Dy 0.500 0.834 0.000
Dy 0.000 0.000 0.834
Dy 0.000 0.332 0.167
Pm 0.500 0.500 0.000
Dy 0.500 0.500 0.334
Dy 0.000 0.668 0.833
Tb 0.500 0.833 0.667
Dy 0.500 0.832 0.333
Tb 0.000 0.667 0.167
Tb 0.000 0.333 0.833
Pm 0.000 0.000 0.500
Dy 0.500 0.500 0.666
Dy 0.500 0.166 0.000
Tb 0.500 0.167 0.333
Dy 0.000 0.666 0.500
Dy 0.500 0.168 0.667
Dy 0.000 0.334 0.500
Dy 0.000 0.000 0.166
CELL_PARAMETERS angstrom
5.027 0.000 0.220
0.000 10.667 0.000
-0.467 0.000 10.657
```

[10]
# VReI

A relaxed VReI crystal (PBE, Alexandria via LeMat-Bulk). Values from VASP.

Computed properties:
The value obtained for the raw formation energy is 0.1895 eV per atom. The value obtained for the density is 8.278 g/cm3. The value obtained for the total DFT energy (no corrections) is -7.516 eV/atom.

Geometry as Quantum ESPRESSO input:
```
&SYSTEM
  ibrav = 0, nat = 12, ntyp = 3
/
ATOMIC_SPECIES
I 126.90 I.upf
V 50.94 V.upf
Re 186.21 Re.upf
ATOMIC_POSITIONS crystal
I 0.410 0.004 0.331
V 0.410 0.869 0.821
V 0.910 0.131 0.179
I 0.910 0.496 0.331
I 0.910 0.996 0.669
Re 0.410 0.128 0.004
V 0.410 0.369 0.179
Re 0.410 0.628 0.996
I 0.410 0.504 0.669
Re 0.910 0.872 0.996
V 0.910 0.631 0.821
Re 0.910 0.372 0.004
CELL_PARAMETERS angstrom
4.286 0.000 0.000
0.000 6.038 0.000
0.000 0.000 11.287
```